# 1
Th2BeGaIr6: optimized geometry, PBE.

Lattice parameters (Å, degrees): 6.323 6.323 6.323 60.00 60.00 90.00
Sites, in units of the cell vectors:
Th1 0.250 0.750 0.500
Th2 0.750 0.250 0.500
Be1 0.000 0.000 0.000
Ga1 0.500 0.500 0.000
Ir1 0.236 0.764 0.000
Ir2 0.764 0.764 0.000
Ir3 0.236 0.236 0.528
Ir4 0.764 0.236 0.000
Ir5 0.236 0.236 0.000
Ir6 0.764 0.764 0.472

Summary:
Mass density: 15.8 g/cm³
Uncorrected energy: -7.848 eV per atom
Total moment: 0.0 μB/cell
E_form: -359 kJ/mol of formula units

# 2
Pm4Dy4Tm5: optimized geometry, PBE.

Lattice parameters (Å, degrees): 5.014 9.411 9.411 85.93 74.55 74.55
Sites, in units of the cell vectors:
Pm1 0.921 0.461 0.696
Pm2 0.617 0.304 0.461
Pm3 0.079 0.539 0.304
Pm4 0.383 0.696 0.539
Dy1 0.771 0.382 0.076
Dy2 0.229 0.618 0.924
Dy3 0.847 0.924 0.382
Dy4 0.153 0.076 0.618
Tm1 0.689 0.850 0.772
Tm2 0.311 0.150 0.228
Tm3 0.000 0.000 0.000
Tm4 0.539 0.772 0.150
Tm5 0.461 0.228 0.850

Summary:
Mass density: 8.4 g/cm³
Uncorrected energy: -4.576 eV per atom
Total moment: 0.0 μB/cell
E_form: 27 kJ/mol of formula units

# 3
InGaTe2I: optimized geometry, PBE.

Lattice parameters (Å, degrees): 5.700 5.700 6.046 90.00 90.00 90.00
Sites, in units of the cell vectors:
I1 0.000 0.000 0.500
Te1 0.000 0.500 0.000
Te2 0.500 0.000 0.000
Ga1 0.500 0.500 0.500
In1 0.000 0.000 0.000

Summary:
Excess energy over the best structure of this formula in the dataset: 0.65 eV/f.u.
Mass density: 4.8 g/cm³
Uncorrected energy: -2.565 eV per atom
Total moment: 0.0 μB/cell

# 4
Tm2InPd5Au: optimized geometry, PBE.

Lattice parameters (Å, degrees): 8.263 8.263 7.965 121.25 121.25 90.00
Sites, in units of the cell vectors:
Tm1 0.127 0.373 0.000
Tm2 0.627 0.127 0.000
Tm3 0.373 0.873 0.000
Tm4 0.873 0.627 0.000
In1 0.250 0.250 0.500
In2 0.750 0.750 0.500
Pd1 0.938 0.438 0.266
Pd2 0.671 0.171 0.734
Pd3 0.062 0.562 0.734
Pd4 0.171 0.062 0.734
Pd5 0.562 0.671 0.734
Pd6 0.829 0.938 0.266
Pd7 0.438 0.329 0.266
Pd8 0.329 0.829 0.266
Pd9 0.500 0.500 0.000
Pd10 0.000 0.000 0.000
Au1 0.250 0.750 0.500
Au2 0.750 0.250 0.500

Summary:
Mass density: 10.6 g/cm³
Uncorrected energy: -4.906 eV per atom
Total moment: 0.0 μB/cell
E_form: -312 kJ/mol of formula units